Fe4RuPb: optimized geometry, PBE.

Summary:
**ΔE_f**: 0.306 eV per atom
**V**: 14.16 Å³ per atom

Structure (POSCAR):
```
Fe4RuPb
1.0
0.000 3.489 3.489
3.489 0.000 3.489
3.489 3.489 0.000
Fe Ru Pb
4 1 1
Cartesian
0.875 0.875 0.875 Fe
2.615 2.615 0.875 Fe
2.615 0.875 2.615 Fe
0.875 2.615 2.615 Fe
3.489 3.489 3.489 Ru
5.234 5.234 5.234 Pb
```

=====

BeZnSe2: optimized geometry, PBE.

Summary:
**Excess energy over the best structure of this formula in the dataset**: 458 meV/atom
**V**: 19.81 Å³ per atom

Structure (POSCAR):
```
BeZnSe2
1.0
3.561 0.000 0.000
0.000 3.561 0.000
0.000 0.000 6.246
Be Zn Se
1 1 2
Cartesian
0.000 0.000 0.000 Be
1.781 1.781 4.400 Zn
0.000 0.000 3.967 Se
1.781 1.781 0.646 Se
```

=====

Please write out number 1 again, unchanged.
Fe4RuPb: optimized geometry, PBE.

Summary:
**ΔE_f**: 0.306 eV per atom
**V**: 14.16 Å³ per atom

Structure (POSCAR):
```
Fe4RuPb
1.0
0.000 3.489 3.489
3.489 0.000 3.489
3.489 3.489 0.000
Fe Ru Pb
4 1 1
Cartesian
0.875 0.875 0.875 Fe
2.615 2.615 0.875 Fe
2.615 0.875 2.615 Fe
0.875 2.615 2.615 Fe
3.489 3.489 3.489 Ru
5.234 5.234 5.234 Pb
```

=====

> V of number 1 (Fe4RuPb)?

14.16 Å³ per atom

=====

> Look up the V of the first one.

14.16 Å³ per atom